Below is a geometry-optimized Sm4Ho19Er6 structure, with properties calculated at the PBE level.

Properties
As for the uncorrected energy: -121.7 eV for the cell shown.

Cell and atoms, written as POSCAR:
```
Sm4Ho19Er6
1.0
-6.205 6.205 6.205
6.205 -6.205 6.205
6.205 6.205 -6.205
Sm Ho Er
4 19 6
Cartesian
2.222 2.222 -2.222
2.222 -2.222 2.222
-2.222 2.222 2.222
3.983 3.983 3.983
0.000 0.000 0.000
3.263 0.000 0.000
9.147 0.000 0.000
5.428 2.925 -2.776
8.981 -0.777 3.280
2.925 -2.776 5.428
0.000 3.263 0.000
0.000 0.000 3.263
3.429 0.777 3.280
3.280 3.429 0.777
6.982 2.925 2.776
0.777 3.280 3.429
3.280 8.981 -0.777
-2.776 5.428 2.925
0.000 9.147 0.000
0.000 0.000 9.147
2.925 2.776 6.982
2.776 6.982 2.925
-0.777 3.280 8.981
6.205 1.575 0.000
6.205 0.000 4.630
4.630 6.205 0.000
1.575 0.000 6.205
0.000 6.205 1.575
0.000 4.630 6.205
```